Density functional theory data (PBE) for a relaxed Ag3SI crystal.

Unit cell a=4.526 b=4.622 c=12.463 alpha=90.00 beta=88.64 gamma=90.01
Element x y z (fractional)
1 Ag 0.667 0.973 0.167
2 Ag 0.041 0.484 0.088
3 Ag 0.340 0.984 0.687
4 I 0.433 0.472 0.269
5 S 0.363 0.488 0.775
6 Ag 0.846 0.282 0.837
7 I 0.948 0.973 0.507
8 Ag 0.535 0.782 0.937
9 Ag 0.712 0.474 0.608
10 S 0.017 0.988 0.000

Summary:
The total energy is -2.9407 eV/atom. As for the uncorrected formation energy: -0.094 eV/atom. The value obtained for the total magnetic moment is 0.000 Bohr magnetons per cell. The space group is P2_1 (4).